Compound: KRb3Co2F9
Source: the Alexandria database
Functional: GGA+U
Structure: optimized geometry

abc: 6.1186 6.1186 7.7086
angles: 90.00 90.00 120.00
Last column: nearest neighbours and their distance in Å.
Element x y z (fractional)
K 0.0000 0.0000 0.0000  6 F 2.52
Rb 0.0000 0.0000 0.5000  12 F 2.96-3.06
Rb 0.3333 0.6667 0.1728  12 F 3.08-3.35
Rb 0.6667 0.3333 0.8272  12 F 3.08-3.35
Co 0.3333 0.6667 0.6491  6 F 1.93-2.11
Co 0.6667 0.3333 0.3509  6 F 1.93-2.11
F 0.0000 0.5000 0.5000  2 Co 2.11
F 0.1828 0.3657 0.7910  1 Co 1.93
F 0.1828 0.8172 0.7910  1 Co 1.93
F 0.3657 0.1828 0.2090  1 Co 1.93
F 0.5000 0.0000 0.5000  2 Co 2.11
F 0.5000 0.5000 0.5000  2 Co 2.11
F 0.6343 0.8172 0.7910  1 Co 1.93
F 0.8172 0.1828 0.2090  1 Co 1.93
F 0.8172 0.6343 0.2090  1 Co 1.93

Calculated values
- magnetization (μB/f.u.) = 7.00
- uncorrected energy (eV per atom) = -4.502
- crystal system = trigonal
- calculated density (g/cm³) = 3.9
- DOS at the Fermi energy (states/eV per atom) = 0.515